ZrNiP2 | Alexandria | PBE | relaxed; VASP energy = -6.95 eV per atom; total moment = 0.0 Bohr magnetons per cell
1.0
-3.347 4.095 0.075
-3.580 2.408 3.060
2.028 2.624 1.641
Ni P Zr
1 2 1
Direct
0.765 0.765 0.782 Ni
0.960 0.960 0.948 P
0.245 0.245 0.367 P
0.531 0.531 0.404 Zr